Entry from Alexandria: a PBEsol-optimized structure of Bi3TeH (meta-GGA SCAN).

Computed properties:
total energy = -54.7531 eV per atom
DOS(E_F) = 0.72 states/eV per atom
symmetry = No. 221

Cell lengths 4.940, 4.940, 4.940 Å; angles 90.00, 90.00, 90.00 degrees
Fractional positions:
1 Bi 0.000 0.500 0.000
2 Bi 0.000 0.000 0.500
3 Bi 0.500 0.000 0.000
4 H 0.000 0.000 0.000
5 Te 0.500 0.500 0.500